Compound: CaPt4Au8
Source: Alexandria via LeMat-Bulk
Functional: PBE
Structure: relaxed

Structure (extended XYZ):
```
13
Lattice="-3.768 1.750 3.797 2.478 -0.236 6.739 0.371 7.058 1.286" Properties=species:S:1:pos:R:3 pbc="T T T"
Ca 0.000 0.000 0.000
Pt 0.185 3.529 0.643
Pt -1.699 4.404 2.542
Pt 1.239 -0.118 3.370
Pt -0.645 0.757 5.268
Au 1.068 4.644 3.091
Au 1.780 2.178 4.934
Au 0.658 5.143 6.626
Au -1.578 3.429 5.197
Au 0.126 2.257 7.428
Au -1.046 6.315 4.395
Au -0.416 2.000 2.837
Au -0.503 6.572 8.986
```

Values from the calculation:
Density, g/cm3: 16.18
Total energy, eV for the cell shown: -54.97
M_tot, μB per atom: 0.000
SG: No. 139
Formation energy, kJ/mol of atoms: -19.2